*P*
Here is a relaxed structure of Pm2NdIr from Alexandria via LeMat-Bulk. Energies are from GGA-PBE.

As for the crystal system: tetragonal.

It has space group P4/mmm (No. 123), with a = 3.593 Å, b = 3.593 Å, c = 9.036 Å, α = 90.00°, β = 90.00° and γ = 90.00°. The distinct sites, in fractional coordinates, are Pm at (0.000, 0.000, 0.183), Nd at (0.500, 0.500, 0.500) and Ir at (0.500, 0.500, 0.000).

*Q*
Here is a relaxed structure of Pm2NdIr from Alexandria via LeMat-Bulk. Energies are from GGA-PBE.

As for the crystal system: trigonal.

It has space group R-3m (No. 166, hexagonal axes), with a = 3.8808 Å, b = 3.8808 Å, c = 32.1101 Å, α = 90.00°, β = 90.00° and γ = 120.00°. The distinct sites, in fractional coordinates, are Pm at (0.0000, 0.0000, 0.1144), Nd at (0.0000, 0.0000, 0.0000) and Ir at (0.0000, 0.0000, 0.5000).

*R*
Here is a relaxed structure of Pm2NdIr from Alexandria via LeMat-Bulk. Energies are from GGA-PBE.

As for the crystal system: orthorhombic.

It has space group Pnma (No. 62), with a = 7.368 Å, b = 9.790 Å, c = 6.531 Å, α = 90.00°, β = 90.00° and γ = 90.00°. The distinct sites, in fractional coordinates, are Pm at (0.175, 0.066, 0.171), Nd at (0.036, 0.250, 0.641) and Ir at (0.119, 0.750, 0.937).

*S*
Here is a relaxed structure of Pm2NdIr from Alexandria via LeMat-Bulk. Energies are from GGA-PBE.

As for the crystal system: orthorhombic.

It has space group Pnna (No. 52), with a = 6.924 Å, b = 6.485 Å, c = 11.758 Å, α = 90.00°, β = 90.00° and γ = 90.00°. The distinct sites, in fractional coordinates, are Pm at (0.086, 0.249, 0.083), Nd at (0.062, 0.250, 0.750) and Ir at (0.250, 0.000, 0.912).

It comes down to *R*, which is 95 meV/atom more stable than the next structure.

*P*
Here is a relaxed structure of Pm3NdIr from Alexandria via LeMat-Bulk. Energies are from GGA-PBE.

As for the crystal system: cubic.

It has space group Pm-3m (No. 221), with a = 5.596 Å, b = 5.596 Å, c = 5.596 Å, α = 90.00°, β = 90.00° and γ = 90.00°. The distinct sites, in fractional coordinates, are Pm at (0.000, 0.000, 0.500), Nd at (0.500, 0.500, 0.500) and Ir at (0.000, 0.000, 0.000).

*Q*
Here is a relaxed structure of Pm3NdIr from Alexandria via LeMat-Bulk. Energies are from GGA-PBE.

As for the crystal system: monoclinic.

It has space group P2_1/m (No. 11), with a = 4.976 Å, b = 10.044 Å, c = 6.742 Å, α = 90.00°, β = 111.57° and γ = 90.00°. The distinct sites, in fractional coordinates, are Pm at (0.134, 0.000, 0.267), Pm at (0.366, 0.250, 0.732), Nd at (0.363, 0.750, 0.726) and Ir at (0.001, 0.750, 0.002).

It comes down to *Q*, which is 79 meV/atom more stable than the next structure.

*P*
Here is a relaxed structure of Pm2Nd2Ir3 from Alexandria via LeMat-Bulk. Energies are from GGA-PBE.

As for the crystal system: cubic.

It has space group I2_13 (No. 199), with a = 8.848 Å, b = 8.848 Å, c = 8.848 Å, α = 90.00°, β = 90.00° and γ = 90.00°. The distinct sites, in fractional coordinates, are Pm at (0.188, 0.188, 0.188), Nd at (0.064, 0.436, 0.564) and Ir at (0.000, 0.250, 0.881).

*Q*
Here is a relaxed structure of Pm2Nd2Ir3 from Alexandria via LeMat-Bulk. Energies are from GGA-PBE.

As for the crystal system: monoclinic.

It has space group C2/m (No. 12), with a = 13.350 Å, b = 4.218 Å, c = 7.316 Å, α = 90.00°, β = 101.40° and γ = 90.00°. The distinct sites, in fractional coordinates, are Pm at (0.128, 0.000, 0.404), Nd at (0.142, 0.500, 0.852), Ir at (0.000, 0.500, 0.500) and Ir at (0.230, 0.500, 0.241).

It comes down to *P*, which is 93 meV/atom more stable than the next structure.

*P*
Here is a relaxed structure of PmNd2Ir from Alexandria via LeMat-Bulk. Energies are from GGA-PBE.

As for the crystal system: tetragonal.

It has space group P4/mmm (No. 123), with a = 3.619 Å, b = 3.619 Å, c = 8.982 Å, α = 90.00°, β = 90.00° and γ = 90.00°. The distinct sites, in fractional coordinates, are Pm at (0.000, 0.000, 0.000), Nd at (0.500, 0.500, 0.314) and Ir at (0.000, 0.000, 0.500).

*Q*
Here is a relaxed structure of PmNd2Ir from Alexandria via LeMat-Bulk. Energies are from GGA-PBE.

As for the crystal system: trigonal.

It has space group R-3m (No. 166, hexagonal axes), with a = 3.8807 Å, b = 3.8807 Å, c = 32.2078 Å, α = 90.00°, β = 90.00° and γ = 120.00°. The distinct sites, in fractional coordinates, are Pm at (0.0000, 0.0000, 0.0000), Nd at (0.0000, 0.0000, 0.1135) and Ir at (0.0000, 0.0000, 0.5000).

*R*
Here is a relaxed structure of PmNd2Ir from Alexandria via LeMat-Bulk. Energies are from GGA-PBE.

As for the crystal system: orthorhombic.

It has space group Pnma (No. 62), with a = 7.378 Å, b = 9.882 Å, c = 6.524 Å, α = 90.00°, β = 90.00° and γ = 90.00°. The distinct sites, in fractional coordinates, are Pm at (0.036, 0.250, 0.145), Nd at (0.176, 0.066, 0.672) and Ir at (0.120, 0.750, 0.442).

*S*
Here is a relaxed structure of PmNd2Ir from Alexandria via LeMat-Bulk. Energies are from GGA-PBE.

As for the crystal system: trigonal.

It has space group R3m (No. 160, hexagonal axes), with a = 4.0600 Å, b = 4.0600 Å, c = 27.7720 Å, α = 90.00°, β = 90.00° and γ = 120.00°. The distinct sites, in fractional coordinates, are Pm at (0.0000, 0.0000, 0.0000), Nd at (0.0000, 0.0000, 0.5560), Nd at (0.0000, 0.0000, 0.7744) and Ir at (0.0000, 0.0000, 0.1651).

It comes down to *R*, which is 197 meV/atom more stable than the next structure.

*P*
Here is a relaxed structure of PmNd4Ir2 from Alexandria via LeMat-Bulk. Energies are from GGA-PBE.

As for the crystal system: trigonal.

It has space group R-3m (No. 166, hexagonal axes), with a = 4.8734 Å, b = 4.8734 Å, c = 30.9276 Å, α = 90.00°, β = 90.00° and γ = 120.00°. The distinct sites, in fractional coordinates, are Pm at (0.0000, 0.0000, 0.0000), Nd at (0.0000, 0.0000, 0.2007), Nd at (0.0000, 0.0000, 0.3996) and Ir at (0.0000, 0.0000, 0.0993).

*Q*
Here is a relaxed structure of PmNd4Ir2 from Alexandria via LeMat-Bulk. Energies are from GGA-PBE.

As for the crystal system: monoclinic.

It has space group P2_1/m (No. 11), with a = 8.017 Å, b = 6.639 Å, c = 8.142 Å, α = 90.00°, β = 113.32° and γ = 90.00°. The distinct sites, in fractional coordinates, are Pm at (0.151, 0.250, 0.029), Nd at (0.013, 0.250, 0.378), Nd at (0.250, 0.750, 0.339), Nd at (0.414, 0.005, 0.763), Ir at (0.249, 0.750, 0.990) and Ir at (0.369, 0.250, 0.403).

It comes down to *Q*, which is 56 meV/atom more stable than the next structure.

*P*
Here is a relaxed structure of PmNdIr2 from Alexandria via LeMat-Bulk. Energies are from GGA-PBE.

As for the crystal system: tetragonal.

It has space group P4/mmm (No. 123), with a = 4.908 Å, b = 4.908 Å, c = 3.663 Å, α = 90.00°, β = 90.00° and γ = 90.00°. The distinct sites, in fractional coordinates, are Pm at (0.000, 0.000, 0.000), Nd at (0.500, 0.500, 0.000) and Ir at (0.000, 0.500, 0.500).

*Q*
Here is a relaxed structure of PmNdIr2 from Alexandria via LeMat-Bulk. Energies are from GGA-PBE.

As for the crystal system: orthorhombic.

It has space group Amm2 (No. 38), with a = 4.224 Å, b = 4.085 Å, c = 10.865 Å, α = 90.00°, β = 90.00° and γ = 90.00°. The distinct sites, in fractional coordinates, are Pm at (0.000, 0.000, 0.000), Nd at (0.500, 0.000, 0.292), Ir at (0.000, 0.000, 0.721) and Ir at (0.500, 0.000, 0.569).

It comes down to *Q*, which is 65 meV/atom more stable than the next structure.

*P*
Here is a relaxed structure of PmNd3Ir from Alexandria via LeMat-Bulk. Energies are from GGA-PBE.

As for the crystal system: monoclinic.

It has space group C2/m (No. 12), with a = 9.919 Å, b = 10.145 Å, c = 6.784 Å, α = 90.00°, β = 111.45° and γ = 90.00°. The distinct sites, in fractional coordinates, are Pm at (0.067, 0.000, 0.268), Nd at (0.068, 0.500, 0.270), Nd at (0.183, 0.250, 0.733) and Ir at (0.249, 0.000, 0.000).

*Q*
Here is a relaxed structure of PmNd3Ir from Alexandria via LeMat-Bulk. Energies are from GGA-PBE.

As for the crystal system: orthorhombic.

It has space group Amm2 (No. 38), with a = 5.655 Å, b = 10.024 Å, c = 11.585 Å, α = 90.00°, β = 90.00° and γ = 90.00°. The distinct sites, in fractional coordinates, are Pm at (0.000, 0.224, 0.000), Nd at (0.000, 0.000, 0.241), Nd at (0.000, 0.000, 0.736), Nd at (0.500, 0.000, 0.044), Nd at (0.500, 0.000, 0.550), Nd at (0.500, 0.223, 0.287), Ir at (0.000, 0.000, 0.485) and Ir at (0.500, 0.000, 0.800).

*R*
Here is a relaxed structure of PmNd3Ir from Alexandria via LeMat-Bulk. Energies are from GGA-PBE.

As for the crystal system: cubic.

It has space group Pm-3m (No. 221), with a = 5.629 Å, b = 5.629 Å, c = 5.629 Å, α = 90.00°, β = 90.00° and γ = 90.00°. The distinct sites, in fractional coordinates, are Pm at (0.000, 0.000, 0.000), Nd at (0.000, 0.500, 0.500) and Ir at (0.500, 0.500, 0.500).

It comes down to *Q*, which is 12 meV/atom more stable than the next structure.

*P*
Here is a relaxed structure of PmNdIrPt from Alexandria via LeMat-Bulk. Energies are from GGA-PBE.

As for the crystal system: orthorhombic.

It has space group Amm2 (No. 38), with a = 4.374 Å, b = 3.961 Å, c = 10.937 Å, α = 90.00°, β = 90.00° and γ = 90.00°. The distinct sites, in fractional coordinates, are Pm at (0.000, 0.000, 0.000), Nd at (0.500, 0.000, 0.282), Ir at (0.500, 0.000, 0.552) and Pt at (0.000, 0.000, 0.724).

*Q*
Here is a relaxed structure of PmNdIrPt from Alexandria via LeMat-Bulk. Energies are from GGA-PBE.

As for the crystal system: cubic.

It has space group F-43m (No. 216), with a = 7.131 Å, b = 7.131 Å, c = 7.131 Å, α = 90.00°, β = 90.00° and γ = 90.00°. The distinct sites, in fractional coordinates, are Pm at (0.000, 0.000, 0.000), Nd at (0.000, 0.000, 0.500), Ir at (0.250, 0.250, 0.750) and Pt at (0.250, 0.250, 0.250).

It comes down to *P*, which is 66 meV/atom more stable than the next structure.

*P*
Here is a relaxed structure of PmNdIrRh from Alexandria via LeMat-Bulk. Energies are from GGA-PBE.

As for the crystal system: orthorhombic.

It has space group Amm2 (No. 38), with a = 4.242 Å, b = 3.993 Å, c = 10.917 Å, α = 90.00°, β = 90.00° and γ = 90.00°. The distinct sites, in fractional coordinates, are Pm at (0.000, 0.000, 0.000), Nd at (0.500, 0.000, 0.713), Ir at (0.500, 0.000, 0.438) and Rh at (0.000, 0.000, 0.276).

*Q*
Here is a relaxed structure of PmNdIrRh from Alexandria via LeMat-Bulk. Energies are from GGA-PBE.

As for the crystal system: cubic.

It has space group F-43m (No. 216), with a = 7.065 Å, b = 7.065 Å, c = 7.065 Å, α = 90.00°, β = 90.00° and γ = 90.00°. The distinct sites, in fractional coordinates, are Pm at (0.000, 0.000, 0.000), Nd at (0.000, 0.000, 0.500), Ir at (0.250, 0.250, 0.250) and Rh at (0.250, 0.250, 0.750).

It comes down to *P*, which is 25 meV/atom more stable than the next structure.

*P*
Here is a relaxed structure of PmNdTlIr from Alexandria via LeMat-Bulk. Energies are from GGA-PBE.

As for the crystal system: cubic.

It has space group F-43m (No. 216), with a = 7.418 Å, b = 7.418 Å, c = 7.418 Å, α = 90.00°, β = 90.00° and γ = 90.00°. The distinct sites, in fractional coordinates, are Pm at (0.000, 0.000, 0.000), Nd at (0.000, 0.000, 0.500), Tl at (0.250, 0.250, 0.750) and Ir at (0.250, 0.250, 0.250).

*Q*
Here is a relaxed structure of PmNdTlIr from Alexandria via LeMat-Bulk. Energies are from GGA-PBE.

As for the crystal system: orthorhombic.

It has space group Pmm2 (No. 25), with a = 3.791 Å, b = 5.053 Å, c = 5.418 Å, α = 90.00°, β = 90.00° and γ = 90.00°. The distinct sites, in fractional coordinates, are Pm at (0.000, 0.000, 0.000), Nd at (0.000, 0.500, 0.474), Tl at (0.500, 0.000, 0.524) and Ir at (0.500, 0.500, 0.882).

It comes down to *Q*, which is 9 meV/atom more stable than the next structure.